No. 1
Sr2AuBr: relaxed, PBEsol.

Summary:
**Uncorrected formation energy**: -1137 meV per atom
**M_tot**: 0.0 μB/f.u.

Cell and atoms, written as CIF:
```
data_Sr2AuBr
_chemical_formula_sum 'Sr6 Au3 Br3'
_cell_length_a 4.3417
_cell_length_b 4.3417
_cell_length_c 23.8208
_cell_angle_alpha 90.00
_cell_angle_beta 90.00
_cell_angle_gamma 120.00
_space_group_name_H-M_alt 'R -3 m'
_space_group_IT_number 166
_space_group_name_Hall '-R 3 2"'
loop_
_atom_site_label
_atom_site_type_symbol
_atom_site_fract_x
_atom_site_fract_y
_atom_site_fract_z
Sr1 Sr 0.0000 0.0000 0.2400
Au1 Au 0.0000 0.0000 0.5000
Br1 Br 0.0000 0.0000 0.0000
```

=====

No. 2
TaAuBr2: relaxed, PBEsol.

Summary:
**Energy above the most stable polymorph in this dataset**: 0.0 meV/atom
**Uncorrected formation energy**: 719 meV per atom
**M_tot**: 1.7 μB/f.u.

Cell and atoms, written as CIF:
```
data_TaAuBr2
_chemical_formula_sum 'Ta2 Au2 Br4'
_cell_length_a 4.525
_cell_length_b 4.525
_cell_length_c 7.761
_cell_angle_alpha 90.00
_cell_angle_beta 90.00
_cell_angle_gamma 90.00
_space_group_name_H-M_alt 'I -4 m 2'
_space_group_IT_number 119
_space_group_name_Hall 'I -4 -2'
loop_
_atom_site_label
_atom_site_type_symbol
_atom_site_fract_x
_atom_site_fract_y
_atom_site_fract_z
Ta1 Ta 0.000 0.000 0.000
Au1 Au 0.000 0.500 0.250
Br1 Br 0.000 0.000 0.500
Br2 Br 0.000 0.500 0.750
```

=====

No. 3
TaAuBr2: relaxed, PBEsol.

Summary:
**Energy above the most stable polymorph in this dataset**: 69.1 meV/atom
**Uncorrected formation energy**: 788 meV per atom
**M_tot**: 1.9 μB/f.u.

Cell and atoms, written as CIF:
```
data_TaAuBr2
_chemical_formula_sum 'Ta1 Au1 Br2'
_cell_length_a 4.396
_cell_length_b 4.396
_cell_length_c 4.075
_cell_angle_alpha 90.00
_cell_angle_beta 90.00
_cell_angle_gamma 90.00
_space_group_name_H-M_alt 'P 4/m m m'
_space_group_IT_number 123
_space_group_name_Hall '-P 4 2'
loop_
_atom_site_label
_atom_site_type_symbol
_atom_site_fract_x
_atom_site_fract_y
_atom_site_fract_z
Ta1 Ta 0.000 0.000 0.000
Au1 Au 0.500 0.500 0.000
Br1 Br 0.000 0.500 0.500
```

=====

No. 4
Ta2AuBr: relaxed, PBEsol.

Summary:
**Energy above the most stable polymorph in this dataset**: 405.8 meV/atom
**Uncorrected formation energy**: 733 meV per atom
**M_tot**: 0.0 μB/f.u.

Cell and atoms, written as CIF:
```
data_Ta2AuBr
_chemical_formula_sum 'Ta4 Au2 Br2'
_cell_length_a 3.999
_cell_length_b 3.999
_cell_length_c 9.023
_cell_angle_alpha 90.00
_cell_angle_beta 90.00
_cell_angle_gamma 90.00
_space_group_name_H-M_alt 'I -4 m 2'
_space_group_IT_number 119
_space_group_name_Hall 'I -4 -2'
loop_
_atom_site_label
_atom_site_type_symbol
_atom_site_fract_x
_atom_site_fract_y
_atom_site_fract_z
Ta1 Ta 0.000 0.000 0.000
Ta2 Ta 0.000 0.500 0.250
Au1 Au 0.000 0.000 0.500
Br1 Br 0.000 0.500 0.750
```

=====

No. 5
Ta2AuBr: relaxed, PBEsol.

Summary:
**Energy above the most stable polymorph in this dataset**: 410.7 meV/atom
**Uncorrected formation energy**: 738 meV per atom
**M_tot**: 0.0 μB/f.u.

Cell and atoms, written as CIF:
```
data_Ta2AuBr
_chemical_formula_sum 'Ta2 Au1 Br1'
_cell_length_a 4.042
_cell_length_b 4.042
_cell_length_c 4.467
_cell_angle_alpha 90.00
_cell_angle_beta 90.00
_cell_angle_gamma 90.00
_space_group_name_H-M_alt 'P 4/m m m'
_space_group_IT_number 123
_space_group_name_Hall '-P 4 2'
loop_
_atom_site_label
_atom_site_type_symbol
_atom_site_fract_x
_atom_site_fract_y
_atom_site_fract_z
Ta1 Ta 0.000 0.500 0.000
Au1 Au 0.000 0.000 0.500
Br1 Br 0.500 0.500 0.500
```

=====

No. 6
Ta2AuBr: relaxed, PBEsol.

Summary:
**Energy above the most stable polymorph in this dataset**: 0.0 meV/atom
**Uncorrected formation energy**: 328 meV per atom
**M_tot**: 0.0 μB/f.u.

Cell and atoms, written as CIF:
```
data_Ta2AuBr
_chemical_formula_sum 'Ta4 Au2 Br2'
_cell_length_a 10.021
_cell_length_b 2.979
_cell_length_c 4.982
_cell_angle_alpha 90.00
_cell_angle_beta 106.80
_cell_angle_gamma 90.00
_space_group_name_H-M_alt 'C 1 m 1'
_space_group_IT_number 8
loop_
_space_group_symop_operation_xyz
'x,y,z'
'x,-y,z'
'x+1/2,y+1/2,z'
'x+1/2,-y+1/2,z'
loop_
_atom_site_label
_atom_site_type_symbol
_atom_site_fract_x
_atom_site_fract_y
_atom_site_fract_z
Ta1 Ta 0.000 0.000 0.000
Ta2 Ta 0.221 0.500 0.397
Au1 Au 0.257 0.000 0.910
Br1 Br 0.479 0.000 0.539
```

=====

No. 7
TcAu3Br: relaxed, PBEsol.

Summary:
**Uncorrected formation energy**: 1322 meV per atom
**M_tot**: 0.0 μB/f.u.

Cell and atoms, written as CIF:
```
data_TcAu3Br
_chemical_formula_sum 'Tc1 Au3 Br1'
_cell_length_a 4.927
_cell_length_b 4.927
_cell_length_c 4.927
_cell_angle_alpha 90.00
_cell_angle_beta 90.00
_cell_angle_gamma 90.00
_space_group_name_H-M_alt 'P m -3 m'
_space_group_IT_number 221
_space_group_name_Hall '-P 4 2 3'
loop_
_atom_site_label
_atom_site_type_symbol
_atom_site_fract_x
_atom_site_fract_y
_atom_site_fract_z
Tc1 Tc 0.000 0.000 0.000
Au1 Au 0.000 0.000 0.500
Br1 Br 0.500 0.500 0.500
```

=====

No. 8
TcAuBr4: relaxed, PBEsol.

Summary:
**Uncorrected formation energy**: 1347 meV per atom
**M_tot**: 3.8 μB/f.u.

Cell and atoms, written as CIF:
```
data_TcAuBr4
_chemical_formula_sum 'Tc4 Au4 Br16'
_cell_length_a 8.366
_cell_length_b 8.366
_cell_length_c 8.366
_cell_angle_alpha 90.00
_cell_angle_beta 90.00
_cell_angle_gamma 90.00
_space_group_name_H-M_alt 'F -4 3 m'
_space_group_IT_number 216
_space_group_name_Hall 'F -4 2 3'
loop_
_atom_site_label
_atom_site_type_symbol
_atom_site_fract_x
_atom_site_fract_y
_atom_site_fract_z
Tc1 Tc 0.000 0.000 0.000
Au1 Au 0.250 0.250 0.250
Br1 Br 0.125 0.125 0.625
```

=====

No. 9
TcAuBr2: relaxed, PBEsol.

Summary:
**Uncorrected formation energy**: 820 meV per atom
**M_tot**: 3.3 μB/f.u.

Cell and atoms, written as CIF:
```
data_TcAuBr2
_chemical_formula_sum 'Tc1 Au1 Br2'
_cell_length_a 3.258
_cell_length_b 4.292
_cell_length_c 5.907
_cell_angle_alpha 90.00
_cell_angle_beta 90.00
_cell_angle_gamma 90.00
_space_group_name_H-M_alt 'P m m m'
_space_group_IT_number 47
loop_
_space_group_symop_operation_xyz
'x,y,z'
'-x,-y,-z'
'-x,-y,z'
'x,y,-z'
'x,-y,-z'
'-x,y,z'
'-x,y,-z'
'x,-y,z'
loop_
_atom_site_label
_atom_site_type_symbol
_atom_site_fract_x
_atom_site_fract_y
_atom_site_fract_z
Tc1 Tc 0.000 0.000 0.000
Au1 Au 0.500 0.000 0.500
Br1 Br 0.000 0.500 0.500
Br2 Br 0.500 0.500 0.000
```

=====

No. 10
Te3AuBr: relaxed, PBEsol.

Summary:
**Energy above the most stable polymorph in this dataset**: 608.5 meV/atom
**Uncorrected formation energy**: 1116 meV per atom
**M_tot**: 0.0 μB/f.u.

Cell and atoms, written as CIF:
```
data_Te3AuBr
_chemical_formula_sum 'Te3 Au1 Br1'
_cell_length_a 5.420
_cell_length_b 5.420
_cell_length_c 5.420
_cell_angle_alpha 90.00
_cell_angle_beta 90.00
_cell_angle_gamma 90.00
_space_group_name_H-M_alt 'P m -3 m'
_space_group_IT_number 221
_space_group_name_Hall '-P 4 2 3'
loop_
_atom_site_label
_atom_site_type_symbol
_atom_site_fract_x
_atom_site_fract_y
_atom_site_fract_z
Te1 Te 0.000 0.000 0.500
Au1 Au 0.500 0.500 0.500
Br1 Br 0.000 0.000 0.000
```

=====

No. 11
TeAuBr2: relaxed, PBEsol.

Summary:
**Uncorrected formation energy**: 209 meV per atom
**M_tot**: 0.0 μB/f.u.

Cell and atoms, written as CIF:
```
data_TeAuBr2
_chemical_formula_sum 'Te3 Au3 Br6'
_cell_length_a 3.4845
_cell_length_b 3.4845
_cell_length_c 29.1764
_cell_angle_alpha 90.00
_cell_angle_beta 90.00
_cell_angle_gamma 120.00
_space_group_name_H-M_alt 'R -3 m'
_space_group_IT_number 166
_space_group_name_Hall '-R 3 2"'
loop_
_atom_site_label
_atom_site_type_symbol
_atom_site_fract_x
_atom_site_fract_y
_atom_site_fract_z
Te1 Te 0.0000 0.0000 0.0000
Au1 Au 0.0000 0.0000 0.5000
Br1 Br 0.0000 0.0000 0.4170
```

=====

No. 12
Te2AuBr: relaxed, PBEsol.

Summary:
**Uncorrected formation energy**: -22 meV per atom
**M_tot**: 0.0 μB/f.u.

Cell and atoms, written as CIF:
```
data_Te2AuBr
_chemical_formula_sum 'Te6 Au3 Br3'
_cell_length_a 3.9779
_cell_length_b 3.9779
_cell_length_c 23.9898
_cell_angle_alpha 90.00
_cell_angle_beta 90.00
_cell_angle_gamma 120.00
_space_group_name_H-M_alt 'R 3 m'
_space_group_IT_number 160
_space_group_name_Hall 'R 3 -2"'
loop_
_atom_site_label
_atom_site_type_symbol
_atom_site_fract_x
_atom_site_fract_y
_atom_site_fract_z
Te1 Te 0.0000 0.0000 0.0000
Te2 Te 0.0000 0.0000 0.2523
Au1 Au 0.0000 0.0000 0.7340
Br1 Br 0.0000 0.0000 0.4653
```

=====

No. 13
TeAuBr2: relaxed, PBEsol.

Summary:
**Uncorrected formation energy**: 155 meV per atom
**M_tot**: 0.0 μB/f.u.

Cell and atoms, written as CIF:
```
data_TeAuBr2
_chemical_formula_sum 'Te3 Au3 Br6'
_cell_length_a 3.7843
_cell_length_b 3.7843
_cell_length_c 26.7951
_cell_angle_alpha 90.00
_cell_angle_beta 90.00
_cell_angle_gamma 120.00
_space_group_name_H-M_alt 'R -3 m'
_space_group_IT_number 166
_space_group_name_Hall '-R 3 2"'
loop_
_atom_site_label
_atom_site_type_symbol
_atom_site_fract_x
_atom_site_fract_y
_atom_site_fract_z
Te1 Te 0.0000 0.0000 0.0000
Au1 Au 0.0000 0.0000 0.5000
Br1 Br 0.0000 0.0000 0.1029
```

=====

No. 14
Te4AuBr: relaxed, PBEsol.

Summary:
**Uncorrected formation energy**: 442 meV per atom
**M_tot**: 0.0 μB/f.u.

Cell and atoms, written as CIF:
```
data_Te4AuBr
_chemical_formula_sum 'Te16 Au4 Br4'
_cell_length_a 8.687
_cell_length_b 8.687
_cell_length_c 8.687
_cell_angle_alpha 90.00
_cell_angle_beta 90.00
_cell_angle_gamma 90.00
_space_group_name_H-M_alt 'F -4 3 m'
_space_group_IT_number 216
_space_group_name_Hall 'F -4 2 3'
loop_
_atom_site_label
_atom_site_type_symbol
_atom_site_fract_x
_atom_site_fract_y
_atom_site_fract_z
Te1 Te 0.124 0.124 0.124
Au1 Au 0.250 0.250 0.750
Br1 Br 0.000 0.000 0.500
```

=====

No. 15
Te3AuBr: relaxed, PBEsol.

Summary:
**Energy above the most stable polymorph in this dataset**: 0.0 meV/atom
**Uncorrected formation energy**: 508 meV per atom
**M_tot**: 0.0 μB/f.u.

Cell and atoms, written as CIF:
```
data_Te3AuBr
_chemical_formula_sum 'Te3 Au1 Br1'
_cell_length_a 5.370
_cell_length_b 5.370
_cell_length_c 5.370
_cell_angle_alpha 90.00
_cell_angle_beta 90.00
_cell_angle_gamma 90.00
_space_group_name_H-M_alt 'P m -3 m'
_space_group_IT_number 221
_space_group_name_Hall '-P 4 2 3'
loop_
_atom_site_label
_atom_site_type_symbol
_atom_site_fract_x
_atom_site_fract_y
_atom_site_fract_z
Te1 Te 0.000 0.000 0.500
Au1 Au 0.000 0.000 0.000
Br1 Br 0.500 0.500 0.500
```

=====

No. 16
Te2AuBr: relaxed, PBEsol.

Summary:
**Uncorrected formation energy**: -177 meV per atom
**M_tot**: 0.0 μB/f.u.

Cell and atoms, written as CIF:
```
data_Te2AuBr
_chemical_formula_sum 'Te4 Au2 Br2'
_cell_length_a 12.829
_cell_length_b 4.017
_cell_length_c 4.734
_cell_angle_alpha 90.00
_cell_angle_beta 106.69
_cell_angle_gamma 90.00
_space_group_name_H-M_alt 'C 1 m 1'
_space_group_IT_number 8
loop_
_space_group_symop_operation_xyz
'x,y,z'
'x,-y,z'
'x+1/2,y+1/2,z'
'x+1/2,-y+1/2,z'
loop_
_atom_site_label
_atom_site_type_symbol
_atom_site_fract_x
_atom_site_fract_y
_atom_site_fract_z
Te1 Te 0.000 0.000 0.000
Te2 Te 0.175 0.000 0.735
Au1 Au 0.087 0.500 0.366
Br1 Br 0.354 0.000 0.461
```

=====

No. 17
TeAuBr3: relaxed, PBEsol.

Summary:
**Uncorrected formation energy**: 400 meV per atom
**M_tot**: 0.0 μB/f.u.

Cell and atoms, written as CIF:
```
data_TeAuBr3
_chemical_formula_sum 'Te1 Au1 Br3'
_cell_length_a 5.481
_cell_length_b 5.481
_cell_length_c 5.481
_cell_angle_alpha 90.00
_cell_angle_beta 90.00
_cell_angle_gamma 90.00
_space_group_name_H-M_alt 'P m -3 m'
_space_group_IT_number 221
_space_group_name_Hall '-P 4 2 3'
loop_
_atom_site_label
_atom_site_type_symbol
_atom_site_fract_x
_atom_site_fract_y
_atom_site_fract_z
Te1 Te 0.000 0.000 0.000
Au1 Au 0.500 0.500 0.500
Br1 Br 0.000 0.000 0.500
```

=====

No. 18
Te2AuBr: relaxed, PBEsol.

Summary:
**Uncorrected formation energy**: -155 meV per atom
**M_tot**: 0.0 μB/f.u.

Cell and atoms, written as CIF:
```
data_Te2AuBr
_chemical_formula_sum 'Te6 Au3 Br3'
_cell_length_a 4.1040
_cell_length_b 4.1040
_cell_length_c 21.7092
_cell_angle_alpha 90.00
_cell_angle_beta 90.00
_cell_angle_gamma 120.00
_space_group_name_H-M_alt 'R -3 m'
_space_group_IT_number 166
_space_group_name_Hall '-R 3 2"'
loop_
_atom_site_label
_atom_site_type_symbol
_atom_site_fract_x
_atom_site_fract_y
_atom_site_fract_z
Te1 Te 0.0000 0.0000 0.2321
Au1 Au 0.0000 0.0000 0.5000
Br1 Br 0.0000 0.0000 0.0000
```

=====

No. 19
Te2AuBr: relaxed, PBEsol.

Summary:
**Uncorrected formation energy**: 42 meV per atom
**M_tot**: 0.0 μB/f.u.

Cell and atoms, written as CIF:
```
data_Te2AuBr
_chemical_formula_sum 'Te8 Au4 Br4'
_cell_length_a 8.320
_cell_length_b 8.320
_cell_length_c 5.994
_cell_angle_alpha 90.00
_cell_angle_beta 90.00
_cell_angle_gamma 90.00
_space_group_name_H-M_alt 'I -4 2 d'
_space_group_IT_number 122
_space_group_name_Hall 'I -4 2bw'
loop_
_atom_site_label
_atom_site_type_symbol
_atom_site_fract_x
_atom_site_fract_y
_atom_site_fract_z
Te1 Te 0.192 0.750 0.125
Au1 Au 0.000 0.000 0.000
Br1 Br 0.000 0.000 0.500
```

=====

No. 20
TeAuBr: relaxed, PBEsol.

Summary:
**Uncorrected formation energy**: 8 meV per atom
**M_tot**: 0.0 μB/f.u.

Cell and atoms, written as CIF:
```
data_TeAuBr
_chemical_formula_sum 'Te4 Au4 Br4'
_cell_length_a 3.787
_cell_length_b 6.663
_cell_length_c 12.901
_cell_angle_alpha 90.00
_cell_angle_beta 90.00
_cell_angle_gamma 90.00
_space_group_name_H-M_alt 'F m m 2'
_space_group_IT_number 42
_space_group_name_Hall 'F 2 -2'
loop_
_atom_site_label
_atom_site_type_symbol
_atom_site_fract_x
_atom_site_fract_y
_atom_site_fract_z
Te1 Te 0.000 0.000 0.000
Au1 Au 0.000 0.000 0.642
Br1 Br 0.000 0.000 0.280
```